1.
Density functional theory data (PBE) for a geometry-optimized Tl3HPb structure.

Unit cell a=5.0385 b=5.0385 c=5.0385 alpha=90.00 beta=90.00 gamma=90.00
Fractional coordinates of all 5 atoms:
Pb 0.5000 0.5000 0.5000
H 0.0000 0.0000 0.0000
Tl 0.0000 0.5000 0.0000
Tl 0.0000 0.0000 0.5000
Tl 0.5000 0.0000 0.0000

Results
- calculated total energy (eV/f.u.) = -13.29
- D(E_F) (states/eV/f.u.) = 2.2
- V (Å³/cell) = 127.9
- relative energy among the computed polymorphs (kJ/mol of formula units) = 3.6
- total magnetic moment (μB/f.u.) = 0.0

=====

2.
Density functional theory data (PBE) for a geometry-optimized Tl2HPb structure.

Unit cell a=5.2434 b=5.2434 c=5.2434 alpha=60.00 beta=60.00 gamma=60.00
Fractional coordinates of all 4 atoms:
Pb 0.5000 0.5000 0.5000
H 0.0000 0.0000 0.0000
Tl 0.2500 0.2500 0.2500
Tl 0.7500 0.7500 0.7500

Results
- calculated total energy (eV/f.u.) = -9.94
- D(E_F) (states/eV/f.u.) = 2.1
- V (Å³/cell) = 101.9
- relative energy among the computed polymorphs (kJ/mol of formula units) = 32.4
- total magnetic moment (μB/f.u.) = 0.0

=====

3.
Density functional theory data (PBE) for a geometry-optimized Tl2HPb structure.

Unit cell a=6.0830 b=6.0830 c=7.4038 alpha=65.74 beta=65.74 gamma=90.00
Fractional coordinates of all 8 atoms:
Pb 0.0000 0.0000 0.0000
Pb 0.7500 0.2500 0.5000
H 0.5000 0.5000 0.0000
H 0.2500 0.7500 0.5000
Tl 0.4825 0.1250 0.2500
Tl 0.2675 0.6250 0.2500
Tl 0.3750 0.5175 0.7500
Tl 0.8750 0.7325 0.7500

Results
- calculated total energy (eV/f.u.) = -10.27
- D(E_F) (states/eV/f.u.) = 1.5
- V (Å³/cell) = 223.0
- relative energy among the computed polymorphs (kJ/mol of formula units) = 0.0
- total magnetic moment (μB/f.u.) = 0.0

=====

4.
Density functional theory data (PBE) for a geometry-optimized Tl2HPb2 structure.

Unit cell a=6.5893 b=6.5893 c=6.0912 alpha=90.00 beta=90.00 gamma=90.00
Fractional coordinates of all 10 atoms:
Pb 0.1861 0.6861 0.5000
Pb 0.6861 0.8139 0.5000
Pb 0.8139 0.3139 0.5000
Pb 0.3139 0.1861 0.5000
H 0.0000 0.0000 0.0000
H 0.5000 0.5000 0.0000
Tl 0.3258 0.8258 0.0000
Tl 0.8258 0.6742 0.0000
Tl 0.6742 0.1742 0.0000
Tl 0.1742 0.3258 0.0000

Results
- calculated total energy (eV/f.u.) = -14.26
- D(E_F) (states/eV/f.u.) = 2.4
- V (Å³/cell) = 264.5
- total magnetic moment (μB/f.u.) = 0.0

=====

5.
Density functional theory data (PBE) for a geometry-optimized Tl3H8Pb structure.

Unit cell a=10.9648 b=4.5320 c=11.0051 alpha=78.07 beta=33.61 gamma=101.45
Fractional coordinates of all 12 atoms:
Tl 0.7766 0.4999 0.6056
Tl 0.2767 0.5001 0.1055
Tl 0.6366 0.0000 0.4712
H 0.9430 0.0000 0.7592
H 0.5034 0.5282 0.2944
H 0.9752 0.4718 0.8226
H 0.4068 0.0000 0.2250
H 0.8981 0.0000 0.7329
H 0.5021 0.4860 0.3653
H 0.0161 0.5140 0.8514
H 0.4171 0.0000 0.2845
Pb 0.1486 0.0000 0.9826

Results
- calculated total energy (eV/f.u.) = -37.04
- D(E_F) (states/eV/f.u.) = 2.8
- V (Å³/cell) = 215.9
- total magnetic moment (μB/f.u.) = 0.0

=====

6.
Density functional theory data (PBE) for a geometry-optimized TlHPb structure.

Unit cell a=9.0045 b=3.5365 c=8.5404 alpha=90.00 beta=90.00 gamma=90.00
Fractional coordinates of all 12 atoms:
Pb 0.1862 0.2500 0.4652
Pb 0.3138 0.7500 0.9652
Pb 0.8138 0.7500 0.5348
Pb 0.6862 0.2500 0.0348
H 0.8168 0.2500 0.3841
H 0.6832 0.7500 0.8841
H 0.1832 0.7500 0.6159
H 0.3168 0.2500 0.1159
Tl 0.0126 0.2500 0.8211
Tl 0.4874 0.7500 0.3211
Tl 0.9874 0.7500 0.1789
Tl 0.5126 0.2500 0.6789

Results
- calculated total energy (eV/f.u.) = -8.54
- D(E_F) (states/eV/f.u.) = 1.3
- V (Å³/cell) = 272.0
- relative energy among the computed polymorphs (kJ/mol of formula units) = 20.6
- total magnetic moment (μB/f.u.) = 0.0

=====

7.
Density functional theory data (PBE) for a geometry-optimized TlH2Pb structure.

Unit cell a=4.6060 b=4.6060 c=4.6060 alpha=60.00 beta=60.00 gamma=60.00
Fractional coordinates of all 4 atoms:
Pb 0.5000 0.5000 0.5000
H 0.2500 0.2500 0.2500
H 0.7500 0.7500 0.7500
Tl 0.0000 0.0000 0.0000

Results
- calculated total energy (eV/f.u.) = -10.36
- D(E_F) (states/eV/f.u.) = 1.7
- V (Å³/cell) = 69.1
- relative energy among the computed polymorphs (kJ/mol of formula units) = 76.7
- total magnetic moment (μB/f.u.) = 0.0

=====

8.
Density functional theory data (PBE) for a geometry-optimized Tl2HPb4 structure.

Unit cell a=4.8826 b=4.8826 c=9.2518 alpha=74.70 beta=74.70 gamma=90.00
Fractional coordinates of all 7 atoms:
Pb 0.8537 0.8537 0.2927
Pb 0.1463 0.1463 0.7073
Pb 0.0000 0.5000 0.0000
Pb 0.5000 0.0000 0.0000
H 0.0000 0.0000 0.0000
Tl 0.6572 0.6572 0.6856
Tl 0.3428 0.3428 0.3144

Results
- calculated total energy (eV/f.u.) = -21.57
- D(E_F) (states/eV/f.u.) = 3.3
- V (Å³/cell) = 204.6
- total magnetic moment (μB/f.u.) = 0.0

=====

9.
Density functional theory data (PBE) for a geometry-optimized Tl2H2Pb structure.

Unit cell a=3.2751 b=5.4253 c=7.4342 alpha=90.94 beta=90.00 gamma=107.57
Fractional coordinates of all 5 atoms:
Tl 0.7385 0.4770 0.2429
Tl 0.2615 0.5230 0.7571
H 0.0025 0.0050 0.4492
H 0.9975 0.9950 0.5508
Pb 0.0000 0.0000 0.0000

Results
- calculated total energy (eV/f.u.) = -14.62
- D(E_F) (states/eV/f.u.) = 1.8
- V (Å³/cell) = 125.9
- relative energy among the computed polymorphs (kJ/mol of formula units) = 0.0
- total magnetic moment (μB/f.u.) = 0.0

=====

10.
Density functional theory data (PBE) for a geometry-optimized TlHPb structure.

Unit cell a=3.4825 b=7.0972 c=6.0584 alpha=80.23 beta=86.31 gamma=101.58
Fractional coordinates of all 6 atoms:
Pb 0.8383 0.1149 0.7790
Pb 0.1617 0.8851 0.2210
H 0.8922 0.3224 0.9621
H 0.1078 0.6776 0.0379
Tl 0.6041 0.3839 0.2866
Tl 0.3959 0.6161 0.7134

Results
- calculated total energy (eV/f.u.) = -8.74
- D(E_F) (states/eV/f.u.) = 0.9
- V (Å³/cell) = 143.8
- relative energy among the computed polymorphs (kJ/mol of formula units) = 0.4
- total magnetic moment (μB/f.u.) = 0.0

=====

11.
Density functional theory data (PBE) for a geometry-optimized TlH2Pb structure.

Unit cell a=3.7303 b=3.7303 c=6.6091 alpha=73.61 beta=73.61 gamma=60.00
Fractional coordinates of all 4 atoms:
Tl 0.9913 0.9913 0.0262
H 0.7926 0.7926 0.6222
H 0.5546 0.5546 0.3361
Pb 0.1725 0.1725 0.4825

Results
- calculated total energy (eV/f.u.) = -11.15
- D(E_F) (states/eV/f.u.) = 0.9
- V (Å³/cell) = 75.3
- relative energy among the computed polymorphs (kJ/mol of formula units) = 0.0
- total magnetic moment (μB/f.u.) = 0.0

=====

12.
Density functional theory data (PBE) for a geometry-optimized Tl2H2Pb structure.

Unit cell a=3.6802 b=3.6802 c=8.0408 alpha=76.77 beta=76.77 gamma=90.00
Fractional coordinates of all 5 atoms:
Pb 0.0000 0.0000 0.0000
H 0.7500 0.2500 0.5000
H 0.2500 0.7500 0.5000
Tl 0.3415 0.3415 0.3170
Tl 0.6585 0.6585 0.6830

Results
- calculated total energy (eV/f.u.) = -13.38
- D(E_F) (states/eV/f.u.) = 2.0
- V (Å³/cell) = 103.0
- relative energy among the computed polymorphs (kJ/mol of formula units) = 120.0
- total magnetic moment (μB/f.u.) = 0.0